# MgTcHg2

A geometry-optimized MgTcHg2 structure (PBEsol, the Alexandria database).

Values from the calculation:
- N(E_F) (states/eV/cell) = 2.75
- energy of formation from the pure elements (eV per atom) = 0.245
- symmetry = Cm (8)

Structure (POSCAR):
```
MgTcHg2
1.0
-1.5880 1.9008 -1.5740
-3.9607 -3.0758 0.2816
1.2549 2.7120 4.7447
Hg Mg Tc
2 1 1
Cartesian
-3.9291 1.7622 3.3564
-1.8608 1.7813 1.2928
-2.4866 -0.2981 -0.5871
-3.0854 -0.7591 2.1962
```

# LiSi2Ir2

A geometry-optimized LiSi2Ir2 structure (PBEsol, the Alexandria database).

Values from the calculation:
- N(E_F) (states/eV/cell) = 1.22
- formation energy from raw total energies (eV per formula unit) = -2.7
- symmetry = I4/mmm (139)

Structure (POSCAR):
```
LiSi2Ir2
1.0
3.6739 0.0000 0.0000
0.0000 3.6739 0.0000
-1.8369 -1.8369 5.5820
Ir Li Si
2 1 2
Cartesian
0.0000 0.0000 4.2859
1.8369 1.8369 1.2961
0.0000 0.0000 0.0000
0.0000 1.8369 2.7910
1.8369 0.0000 2.7910
```

# CsVCl3

A geometry-optimized CsVCl3 structure (PBEsol, the Alexandria database).

Values from the calculation:
- N(E_F) (states/eV/cell) = 0.90
- formation energy from raw total energies (eV per formula unit) = -7.6
- symmetry = P6_3/mmc (194)

Structure (POSCAR):
```
CsVCl3
1.0
-0.7994 -3.2462 -4.6280
-2.1134 -5.4417 4.1820
-4.8227 4.7116 -2.4718
Cl Cs V
6 2 2
Cartesian
-5.6912 -3.7892 -1.6414
-4.5976 2.3074 -2.5851
-5.7165 -0.5736 -0.3711
-2.0190 -3.4027 -2.5468
-3.1379 -6.2837 -0.3327
-2.0443 -0.1870 -1.2765
-4.5191 -1.1075 -3.7249
-3.2163 -2.8688 0.8070
-0.3997 -1.6231 -2.3140
0.0000 0.0000 0.0000
```

# Lu2IrPd

A geometry-optimized Lu2IrPd structure (PBEsol, the Alexandria database).

Values from the calculation:
- N(E_F) (states/eV/cell) = 1.50
- energy of formation from the pure elements (eV per atom) = -1.009
- symmetry = Fm-3m (225)

Structure (POSCAR):
```
Lu2IrPd
1.0
4.7173 0.0000 0.0000
2.3587 4.0853 0.0000
2.3587 1.3618 3.8517
Pd Lu Ir
1 2 1
Cartesian
0.0000 0.0000 0.0000
7.0760 4.0853 2.8888
2.3587 1.3618 0.9629
4.7173 2.7235 1.9258
```

# In3TcRh

A geometry-optimized In3TcRh structure (PBEsol, the Alexandria database).

Values from the calculation:
- N(E_F) (states/eV/cell) = 6.94
- energy of formation from the pure elements (eV per atom) = 1.017
- symmetry = Pm-3m (221)

Structure (POSCAR):
```
In3TcRh
1.0
-3.9790 2.4584 -1.7518
-1.8324 -4.2703 -1.8308
-2.3989 -0.8158 4.3040
In Rh Tc
3 1 1
Cartesian
-1.1995 -0.4079 2.1520
-1.9895 1.2292 -0.8759
-0.9162 -2.1351 -0.9154
-4.1052 -1.3138 0.3607
0.0000 0.0000 0.0000
```

# BaMgBe3

A geometry-optimized BaMgBe3 structure (PBEsol, the Alexandria database).

Values from the calculation:
- N(E_F) (states/eV/cell) = 3.90
- energy of formation from the pure elements (eV per atom) = 0.922
- symmetry = Pm-3m (221)

Structure (POSCAR):
```
BaMgBe3
1.0
4.7939 0.0000 0.0000
0.0000 4.7939 0.0000
0.0000 0.0000 4.7939
Be Ba Mg
3 1 1
Cartesian
0.0000 0.0000 2.3969
0.0000 2.3969 0.0000
2.3969 0.0000 0.0000
2.3969 2.3969 2.3969
0.0000 0.0000 0.0000
```

# LiAl2Pd2

A geometry-optimized LiAl2Pd2 structure (PBEsol, the Alexandria database).

Values from the calculation:
- N(E_F) (states/eV/cell) = 3.11
- energy of formation from the pure elements (eV per atom) = -0.767
- symmetry = P4/mbm (127)

Structure (POSCAR):
```
LiAl2Pd2
1.0
-1.1747 0.3434 -2.5301
4.6813 -4.8522 -2.8320
-4.7141 -5.3979 1.4560
Pd Al Li
4 4 2
Cartesian
2.3358 -3.9361 -1.6187
0.9402 -7.6315 -1.4723
-0.9729 -2.6186 0.0963
-2.3686 -6.3140 0.2427
-2.9493 -4.0569 -0.7424
0.3512 -2.3358 -2.0411
-1.5586 -7.5709 -1.8649
1.7419 -5.8498 -3.1637
-0.0164 -5.1251 -0.6880
0.0000 0.0000 0.0000
```

# CrNiPt

A geometry-optimized CrNiPt structure (PBEsol, the Alexandria database).

Values from the calculation:
- N(E_F) (states/eV/cell) = 2.84
- energy of formation from the pure elements (eV per atom) = -0.158
- symmetry = Imm2 (44)

Structure (POSCAR):
```
CrNiPt
1.0
-1.0506 -2.3585 0.3933
0.9778 0.1427 3.4676
-3.3481 2.7634 -1.0442
Ni Pt Cr
1 1 1
Cartesian
-1.1248 -0.5755 2.2155
-2.2632 1.1070 0.5927
-0.0328 0.0161 0.0086
```

# TlPb

A geometry-optimized TlPb structure (PBEsol, the Alexandria database).

Values from the calculation:
- N(E_F) (states/eV/cell) = 2.02
- energy of formation from the pure elements (eV per atom) = 0.022
- symmetry = Imma (74)

Structure (POSCAR):
```
TlPb
1.0
3.6160 0.0000 0.0000
0.0000 5.6450 0.0000
-1.8080 -2.8225 5.6607
Tl Pb
2 2
Cartesian
1.8080 -1.4113 4.2540
0.0000 4.2338 1.4067
1.8080 1.4113 1.4429
0.0000 1.4113 4.2178
```

# GePt2Pb2

A geometry-optimized GePt2Pb2 structure (PBEsol, the Alexandria database).

Values from the calculation:
- N(E_F) (states/eV/cell) = 2.99
- energy of formation from the pure elements (eV per atom) = 0.143
- symmetry = I4/mmm (139)

Structure (POSCAR):
```
GePt2Pb2
1.0
-1.5145 -2.7265 2.0938
-1.9219 -1.2255 -2.9860
7.7089 -2.8057 -1.4472
Ge Pt Pb
1 2 2
Cartesian
0.0000 0.0000 0.0000
2.0344 -3.0036 -2.4396
2.2381 -3.7541 0.1003
4.6385 -3.7024 -1.4660
-0.3661 -3.0553 -0.8734
```

# Li3AsCl

A geometry-optimized Li3AsCl structure (PBEsol, the Alexandria database).

Values from the calculation:
- N(E_F) (states/eV/cell) = 3.13
- formation energy from raw total energies (eV per formula unit) = -3.8
- symmetry = Pm-3m (221)

Structure (POSCAR):
```
Li3AsCl
1.0
4.4710 0.0000 0.0000
0.0000 4.4710 0.0000
0.0000 0.0000 4.4710
Li As Cl
3 1 1
Cartesian
0.0000 0.0000 2.2355
0.0000 2.2355 0.0000
2.2355 0.0000 0.0000
2.2355 2.2355 2.2355
0.0000 0.0000 0.0000
```

# Ti4CoP6O24

A geometry-optimized Ti4CoP6O24 structure (PBEsol, the Alexandria database).

Values from the calculation:
- N(E_F) (states/eV/cell) = 7.58
- formation energy from raw total energies (eV per formula unit) = -85.5
- symmetry = R-3 (148)

Structure (POSCAR):
```
Ti4CoP6O24
1.0
-0.1011 8.4103 -0.2842
-6.7214 4.0499 3.0406
0.7972 4.2808 7.2016
O P Ti Co
24 6 4 1
Cartesian
-3.6033 6.0436 7.7488
-2.6223 6.3482 5.4911
-3.0013 12.4130 6.1868
-4.7132 8.9422 6.1128
-3.4030 10.3928 4.4669
-3.0239 4.3280 3.7712
-1.3120 7.7988 3.8452
-5.6005 11.4734 6.1938
-5.5011 8.6029 2.2979
-2.1267 5.8954 1.6790
-6.0484 6.2351 3.1073
-4.8875 11.2462 2.6350
-6.4315 7.2200 5.6292
-2.4220 10.6974 2.2092
0.4063 9.5210 4.3288
-1.1377 5.4949 7.3231
-2.2742 9.5346 6.5928
-0.5241 8.1381 7.6602
-3.8985 10.8457 8.2790
-5.7430 7.7201 8.0452
-3.7510 7.2064 3.3653
-0.4247 5.2676 3.7642
0.0231 10.5059 6.8507
-0.2823 9.0209 1.9128
-0.0077 8.4749 3.3157
-6.0176 8.2661 6.6423
-3.4527 11.2566 3.1667
-0.9989 9.5659 7.4936
-5.0263 7.1751 2.4644
-2.5725 5.4845 6.7913
-5.2418 14.5643 8.6633
-0.7834 2.1767 1.2948
-3.8817 10.7851 6.4153
-2.1436 5.9559 3.5427
-3.0126 8.3705 4.9790
```